[1]
A plane-wave DFT calculation with SCAN was carried out for HfB4H16 at its PBEsol-relaxed geometry.

abc: 5.6566 5.6566 5.6566
angles: 90.00 90.00 90.00
Positions (direct):
Hf  0.0000  0.0000  0.0000
B  0.2310  0.2310  0.2310
B  0.2310  0.7690  0.7690
B  0.7690  0.2310  0.7690
B  0.7690  0.7690  0.2310
H  0.0140  0.2632  0.2632
H  0.0140  0.7368  0.7368
H  0.2632  0.0140  0.2632
H  0.2632  0.2632  0.0140
H  0.2632  0.7368  0.9860
H  0.2632  0.9860  0.7368
H  0.3532  0.3532  0.3532
H  0.3532  0.6468  0.6468
H  0.6468  0.3532  0.6468
H  0.6468  0.6468  0.3532
H  0.7368  0.0140  0.7368
H  0.7368  0.2632  0.9860
H  0.7368  0.7368  0.0140
H  0.7368  0.9860  0.2632
H  0.9860  0.2632  0.7368
H  0.9860  0.7368  0.2632

[2]
A plane-wave DFT calculation with SCAN was carried out for P4WO12 at its PBEsol-relaxed geometry.

abc: 13.2477 8.0388 9.3651
angles: 90.00 90.00 90.00
Positions (direct):
P  0.1475  0.0421  0.0180
P  0.1475  0.9579  0.5180
P  0.1502  0.3257  0.5028
P  0.1502  0.6743  0.0028
P  0.3498  0.1743  0.0028
P  0.3498  0.8257  0.5028
P  0.3525  0.4579  0.5180
P  0.3525  0.5421  0.0180
P  0.6475  0.4579  0.9820
P  0.6475  0.5421  0.4820
P  0.6502  0.1743  0.4972
P  0.6502  0.8257  0.9972
P  0.8498  0.3257  0.9972
P  0.8498  0.6743  0.4972
P  0.8525  0.0421  0.4820
P  0.8525  0.9579  0.9820
W  0.0000  0.1555  0.7500
W  0.0000  0.8445  0.2500
W  0.5000  0.3445  0.2500
W  0.5000  0.6555  0.7500
O  0.0719  0.0253  0.1386
O  0.0719  0.9747  0.6386
O  0.0751  0.3147  0.6257
O  0.0751  0.6853  0.1257
O  0.1115  0.1500  0.8955
O  0.1115  0.8500  0.3955
O  0.1315  0.4273  0.3766
O  0.1315  0.5727  0.8766
O  0.1778  0.1343  0.4581
O  0.1778  0.8657  0.9581
O  0.2449  0.1228  0.0841
O  0.2449  0.8772  0.5841
O  0.2551  0.3772  0.5841
O  0.2551  0.6228  0.0841
O  0.3222  0.3657  0.9581
O  0.3222  0.6343  0.4581
O  0.3685  0.0727  0.8766
O  0.3685  0.9273  0.3766
O  0.3885  0.3500  0.3955
O  0.3885  0.6500  0.8955
O  0.4249  0.1853  0.1257
O  0.4249  0.8147  0.6257
O  0.4281  0.4747  0.6386
O  0.4281  0.5253  0.1386
O  0.5719  0.4747  0.8614
O  0.5719  0.5253  0.3614
O  0.5751  0.1853  0.3743
O  0.5751  0.8147  0.8743
O  0.6115  0.3500  0.1045
O  0.6115  0.6500  0.6045
O  0.6315  0.0727  0.6234
O  0.6315  0.9273  0.1234
O  0.6778  0.3657  0.5419
O  0.6778  0.6343  0.0419
O  0.7449  0.3772  0.9159
O  0.7449  0.6228  0.4159
O  0.7551  0.1228  0.4159
O  0.7551  0.8772  0.9159
O  0.8222  0.1343  0.0419
O  0.8222  0.8657  0.5419
O  0.8685  0.4273  0.1234
O  0.8685  0.5727  0.6234
O  0.8885  0.1500  0.6045
O  0.8885  0.8500  0.1045
O  0.9249  0.3147  0.8743
O  0.9249  0.6853  0.3743
O  0.9281  0.0253  0.3614
O  0.9281  0.9747  0.8614

* energy above the lowest structure with this stoichiometry: 12.4 meV per atom

[3]
A plane-wave DFT calculation with SCAN was carried out for In2Rh at its PBEsol-relaxed geometry.

abc: 6.6440 6.6440 6.6471
angles: 90.00 90.00 153.82
Positions (direct):
In  0.0029  0.9971  0.5000
In  0.2515  0.7485  0.0457
In  0.7485  0.2515  0.5457
In  0.9971  0.0029  0.0000
Rh  0.3856  0.6144  0.7468
Rh  0.6144  0.3856  0.2468

* DFT formation energy: -336 meV/atom

[4]
A plane-wave DFT calculation with SCAN was carried out for USb2Ru at its PBEsol-relaxed geometry.

abc: 4.3105 4.3105 8.9954
angles: 90.00 90.00 90.00
Positions (direct):
U  0.2500  0.2500  0.2258
U  0.7500  0.7500  0.7742
Sb  0.2500  0.2500  0.8166
Sb  0.2500  0.7500  0.5000
Sb  0.7500  0.2500  0.5000
Sb  0.7500  0.7500  0.1834
Ru  0.2500  0.7500  0.0000
Ru  0.7500  0.2500  0.0000

[5]
A plane-wave DFT calculation with SCAN was carried out for TlTc2Ru at its PBEsol-relaxed geometry.

abc: 9.1266 9.1266 9.1266
angles: 17.88 17.88 17.88
Positions (direct):
Tl  0.0000  0.0000  0.0000
Tc  0.2419  0.2419  0.2419
Tc  0.4991  0.4991  0.4991
Ru  0.7558  0.7558  0.7558

* DFT formation energy: 479 meV/atom
* energy above the lowest structure with this stoichiometry: 0.0 meV per atom

[6]
A plane-wave DFT calculation with SCAN was carried out for Na2CeF6 at its PBEsol-relaxed geometry.

abc: 5.9348 5.9348 3.6851
angles: 90.00 90.00 120.00
Positions (direct):
Na  0.3333  0.6667  0.0609
Na  0.6667  0.3333  0.9391
Ce  0.0000  0.0000  0.5000
F  0.0000  0.3696  0.5000
F  0.0000  0.7492  0.0000
F  0.2508  0.2508  0.0000
F  0.3696  0.0000  0.5000
F  0.6304  0.6304  0.5000
F  0.7492  0.0000  0.0000

[7]
A plane-wave DFT calculation with SCAN was carried out for ZrAgHg2I at its PBEsol-relaxed geometry.

abc: 5.5626 5.5626 5.1100
angles: 90.00 90.00 90.00
Positions (direct):
Zr  0.0000  0.0000  0.0000
Ag  0.5000  0.5000  0.0000
Hg  0.0000  0.5000  0.5000
Hg  0.5000  0.0000  0.5000
I  0.5000  0.5000  0.5000

[8]
A plane-wave DFT calculation with SCAN was carried out for RbNiHg2 at its PBEsol-relaxed geometry.

abc: 5.1685 5.1685 5.1685
angles: 60.00 60.00 60.00
Positions (direct):
Rb  0.0000  0.0000  0.0000
Ni  0.5000  0.5000  0.5000
Hg  0.2500  0.2500  0.2500
Hg  0.7500  0.7500  0.7500

* DFT formation energy: 441 meV/atom

[9]
A plane-wave DFT calculation with SCAN was carried out for LaY2Sc at its PBEsol-relaxed geometry.

abc: 6.0236 6.0236 6.0236
angles: 131.75 131.75 70.63
Positions (direct):
La  0.0000  0.0000  0.0000
Y  0.2500  0.7500  0.5000
Y  0.7500  0.2500  0.5000
Sc  0.5000  0.5000  0.0000

* DFT formation energy: 88 meV/atom
* energy above the lowest structure with this stoichiometry: 19.3 meV per atom

[10]
A plane-wave DFT calculation with SCAN was carried out for CaCuAg2 at its PBEsol-relaxed geometry.

abc: 8.8116 8.8116 8.8116
angles: 20.88 20.88 20.88
Positions (direct):
Ca  0.0000  0.0000  0.0000
Cu  0.5000  0.5000  0.5000
Ag  0.2384  0.2384  0.2384
Ag  0.7616  0.7616  0.7616

* DFT formation energy: 288 meV/atom
* energy above the lowest structure with this stoichiometry: 332.6 meV per atom

[11]
A plane-wave DFT calculation with SCAN was carried out for Cr3PtN at its PBEsol-relaxed geometry.

abc: 3.7876 3.7876 3.7876
angles: 90.00 90.00 90.00
Positions (direct):
Cr  0.0000  0.0000  0.5000
Cr  0.0000  0.5000  0.0000
Cr  0.5000  0.0000  0.0000
Pt  0.5000  0.5000  0.5000
N  0.0000  0.0000  0.0000

[12]
A plane-wave DFT calculation with SCAN was carried out for InCoSeBr2 at its PBEsol-relaxed geometry.

abc: 5.0881 5.0881 4.4452
angles: 90.00 90.00 90.00
Positions (direct):
In  0.0000  0.0000  0.0000
Co  0.5000  0.5000  0.5000
Se  0.5000  0.5000  0.0000
Br  0.0000  0.5000  0.5000
Br  0.5000  0.0000  0.5000

[13]
A plane-wave DFT calculation with SCAN was carried out for SbIrRh2 at its PBEsol-relaxed geometry.

abc: 2.8953 3.7766 5.5983
angles: 90.00 90.00 90.00
Positions (direct):
Sb  0.0000  0.0000  0.0000
Ir  0.5000  0.5000  0.2792
Rh  0.0000  0.0000  0.5009
Rh  0.5000  0.5000  0.7493

[14]
A plane-wave DFT calculation with SCAN was carried out for SiAgF3 at its PBEsol-relaxed geometry.

abc: 4.1142 4.1142 4.1142
angles: 90.00 90.00 90.00
Positions (direct):
Si  0.0000  0.0000  0.0000
Ag  0.5000  0.5000  0.5000
F  0.0000  0.0000  0.5000
F  0.0000  0.5000  0.0000
F  0.5000  0.0000  0.0000

[15]
A plane-wave DFT calculation with SCAN was carried out for Cs2ZnSn3Se8 at its PBEsol-relaxed geometry.

abc: 7.7667 12.4924 18.3076
angles: 90.00 90.00 90.00
Positions (direct):
Cs  0.2174  0.1853  0.1593
Cs  0.2493  0.1235  0.5522
Cs  0.2507  0.8765  0.0522
Cs  0.2826  0.8147  0.6593
Cs  0.7174  0.3147  0.8407
Cs  0.7493  0.3765  0.4478
Cs  0.7507  0.6235  0.9478
Cs  0.7826  0.6853  0.3407
Zn  0.0145  0.9996  0.3460
Zn  0.4855  0.0004  0.8460
Zn  0.5145  0.5004  0.6540
Zn  0.9855  0.4996  0.1540
Sn  0.9999  0.4883  0.6495
Sn  0.0001  0.9883  0.8505
Sn  0.2223  0.4263  0.9843
Sn  0.2426  0.4445  0.3190
Sn  0.2574  0.5555  0.8190
Sn  0.2777  0.5737  0.4843
Sn  0.4999  0.0117  0.3505
Sn  0.5001  0.5117  0.1495
Sn  0.7223  0.0737  0.0157
Sn  0.7426  0.0555  0.6810
Sn  0.7574  0.9445  0.1810
Sn  0.7777  0.9263  0.5157
Se  0.0122  0.1243  0.9579
Se  0.0160  0.1237  0.7432
Se  0.0403  0.8908  0.2337
Se  0.0452  0.8740  0.4491
Se  0.2261  0.3558  0.8519
Se  0.2308  0.6219  0.1566
Se  0.2376  0.6269  0.9519
Se  0.2449  0.1350  0.3529
Se  0.2551  0.8650  0.8529
Se  0.2624  0.3731  0.4519
Se  0.2692  0.3781  0.6566
Se  0.2739  0.6442  0.3519
Se  0.4548  0.1260  0.9491
Se  0.4597  0.1092  0.7337
Se  0.4840  0.8763  0.2432
Se  0.4878  0.8757  0.4579
Se  0.5122  0.3757  0.0421
Se  0.5160  0.3763  0.2568
Se  0.5403  0.6092  0.7663
Se  0.5452  0.6260  0.5509
Se  0.7261  0.1442  0.1481
Se  0.7308  0.8781  0.8434
Se  0.7376  0.8731  0.0481
Se  0.7449  0.3650  0.6471
Se  0.7551  0.6350  0.1471
Se  0.7624  0.1269  0.5481
Se  0.7692  0.1219  0.3434
Se  0.7739  0.8558  0.6481
Se  0.9548  0.3740  0.0509
Se  0.9597  0.3908  0.2663
Se  0.9840  0.6237  0.7568
Se  0.9878  0.6243  0.5421

[16]
A plane-wave DFT calculation with SCAN was carried out for MnCo2BiO at its PBEsol-relaxed geometry.

abc: 4.5683 4.5683 3.4201
angles: 90.00 90.00 90.00
Positions (direct):
Mn  0.0000  0.0000  0.0000
Co  0.0000  0.5000  0.0000
Co  0.5000  0.0000  0.0000
Bi  0.5000  0.5000  0.5000
O  0.0000  0.0000  0.5000

[17]
A plane-wave DFT calculation with SCAN was carried out for Be2CuRu at its PBEsol-relaxed geometry.

abc: 3.6953 3.6953 2.9214
angles: 90.00 90.00 90.00
Positions (direct):
Be  0.0000  0.5000  0.0000
Be  0.5000  0.0000  0.0000
Cu  0.0000  0.0000  0.5000
Ru  0.5000  0.5000  0.5000

* DFT formation energy: -409 meV/atom
* energy above the lowest structure with this stoichiometry: 0.0 meV per atom

[18]
A plane-wave DFT calculation with SCAN was carried out for ReRu3 at its PBEsol-relaxed geometry.

abc: 4.6466 4.6466 4.6459
angles: 99.73 99.73 33.61
Positions (direct):
Re  0.0000  0.0000  0.0000
Ru  0.2503  0.2503  0.7506
Ru  0.5000  0.5000  0.5000
Ru  0.7497  0.7497  0.2494

* DFT formation energy: 82 meV/atom
* energy above the lowest structure with this stoichiometry: 157.8 meV per atom

[19]
A plane-wave DFT calculation with SCAN was carried out for SbTeI2N at its PBEsol-relaxed geometry.

abc: 6.0454 6.0454 5.8997
angles: 90.00 90.00 90.00
Positions (direct):
Sb  0.0000  0.0000  0.0000
Te  0.0000  0.0000  0.5000
I  0.0000  0.5000  0.5000
I  0.5000  0.0000  0.5000
N  0.5000  0.5000  0.0000

* energy above the lowest structure with this stoichiometry: 169.5 meV per atom

[20]
A plane-wave DFT calculation with SCAN was carried out for MgReAu2I at its PBEsol-relaxed geometry.

abc: 5.1728 5.1728 4.8449
angles: 90.00 90.00 90.00
Positions (direct):
Mg  0.0000  0.0000  0.0000
Re  0.5000  0.5000  0.0000
Au  0.0000  0.5000  0.5000
Au  0.5000  0.0000  0.5000
I  0.5000  0.5000  0.5000

For the records above, the corresponding total DFT energy (no corrections) values read -7.247; -13.123; -33.851; -53.505; -43.847; -11.811; -45.773; -42.870; -28.169; -21.611; -27.340; -22.155; -43.877; -11.783; -26.286; -27.285; -15.092; -43.812; -30.238; -48.558 eV per atom.